(1)
Material: MgNbCr
Method: DFT, GGA-PBE
State: relaxed

```
MgNbCr
1.0
3.257 0.000 0.000
0.000 3.257 0.000
0.000 0.000 9.853
Cr Nb Mg
2 2 2
Direct
0.500 0.500 0.244
0.000 0.000 0.744
0.500 0.500 0.631
0.000 0.000 0.131
0.000 0.000 0.428
0.500 0.500 0.928
```

Summary:
E_form	316	meV per atom
crystal system	tetragonal
energy relative to the lowest polymorph listed for this composition	0.076	eV per atom


(2)
Material: BeRe2Sb
Method: DFT, GGA-PBE
State: relaxed

```
BeRe2Sb
1.0
-2.075 1.163 -2.035
1.336 -1.646 -2.303
-3.749 -4.662 1.158
Re Sb Be
2 1 1
Direct
0.000 0.000 0.952
0.500 0.500 0.230
0.000 0.000 0.505
0.500 0.500 0.813
```

Summary:
crystal system	tetragonal
energy relative to the lowest polymorph listed for this composition	0.000	eV per atom


(3)
Material: MgGaSi2
Method: DFT, GGA-PBE
State: relaxed

```
MgGaSi2
1.0
7.394 0.000 0.000
0.000 7.394 0.000
3.697 3.697 2.688
Ga Si Mg
2 4 2
Direct
0.750 0.250 0.500
0.000 0.000 0.000
0.375 0.333 0.750
0.083 0.625 0.250
0.875 0.917 0.750
0.667 0.125 0.250
0.500 0.500 0.000
0.250 0.750 0.500
```

Summary:
crystal system	tetragonal
energy relative to the lowest polymorph listed for this composition	0.000	eV per atom


(4)
Material: RbZnAu2
Method: DFT, GGA-PBE
State: relaxed

```
RbZnAu2
1.0
-3.775 2.419 0.997
-1.820 0.205 -7.390
-3.419 -5.619 0.686
Zn Rb Au
2 2 4
Direct
0.000 0.500 0.086
0.500 0.000 0.914
0.500 0.500 0.610
0.000 0.000 0.390
0.000 0.184 0.901
0.500 0.316 0.099
0.500 0.684 0.099
0.000 0.816 0.901
```

Summary:
E_form	-262	meV per atom
crystal system	orthorhombic


(5)
Material: YZnCd
Method: DFT, GGA-PBE
State: relaxed

```
YZnCd
1.0
-3.127 1.269 -1.890
1.436 -3.507 -0.773
-3.421 -2.307 4.111
Cd Zn Y
1 1 1
Direct
0.000 0.000 0.959
0.333 0.667 0.690
0.667 0.333 0.351
```

Summary:
E_form	-94	meV per atom
crystal system	trigonal


(6)
Material: Mg2InSi2Pt5
Method: DFT, GGA-PBE
State: relaxed

```
Mg2InSi2Pt5
1.0
3.662 0.000 0.000
0.000 9.519 0.000
0.000 0.000 9.519
In Pt Mg Si
2 10 4 4
Direct
0.000 0.500 0.500
0.000 0.000 0.000
0.500 0.000 0.500
0.500 0.710 0.425
0.500 0.290 0.575
0.500 0.500 0.000
0.500 0.425 0.290
0.500 0.575 0.710
0.500 0.925 0.210
0.500 0.210 0.075
0.500 0.790 0.925
0.500 0.075 0.790
0.000 0.828 0.672
0.000 0.672 0.172
0.000 0.172 0.328
0.000 0.328 0.828
0.000 0.627 0.873
0.000 0.873 0.373
0.000 0.373 0.127
0.000 0.127 0.627
```

Summary:
crystal system	tetragonal


(7)
Material: Tl3Ag2Hg8
Method: DFT, GGA-PBE
State: relaxed

```
Tl3Ag2Hg8
1.0
5.030 0.000 0.000
0.000 7.481 2.252
0.000 0.620 9.302
Tl Hg Ag
3 8 2
Direct
0.000 0.725 0.928
0.500 0.000 0.000
0.000 0.275 0.072
0.000 0.364 0.391
0.500 0.461 0.827
0.000 0.829 0.251
0.500 0.103 0.327
0.000 0.636 0.609
0.500 0.539 0.173
0.500 0.897 0.673
0.000 0.171 0.749
0.500 0.303 0.569
0.500 0.697 0.431
```

Summary:
E_form	34	meV per atom
crystal system	monoclinic


(8)
Material: NdThTcCl
Method: DFT, GGA-PBE
State: relaxed

```
NdThTcCl
1.0
4.108 0.001 0.000
-2.052 3.557 0.000
-2.054 -1.185 7.632
Nd Th Cl Tc
1 1 1 1
Direct
0.495 0.146 0.656
0.092 0.944 0.051
0.971 0.384 0.369
0.320 0.558 0.893
```

Summary:
crystal system	trigonal


(9)
Material: TmGaAg2O4
Method: DFT, GGA-PBE
State: relaxed

```
TmGaAg2O4
1.0
3.239 0.000 0.000
0.000 5.550 -0.198
0.000 -2.246 5.934
Tm O Ga Ag
1 4 1 2
Direct
0.500 0.500 0.000
0.500 0.770 0.810
0.000 0.225 0.821
0.000 0.775 0.179
0.500 0.230 0.190
0.000 0.000 0.000
0.500 0.000 0.500
0.000 0.500 0.500
```

Summary:
crystal system	monoclinic


(10)
Material: V5Cr2Rh12
Method: DFT, GGA-PBE
State: relaxed

```
V5Cr2Rh12
1.0
5.283 0.000 0.000
-2.642 6.985 0.037
0.000 -2.429 7.908
Cr Rh V
2 12 5
Direct
0.693 0.000 0.000
0.307 0.000 0.000
0.583 0.664 0.416
0.081 0.664 0.416
0.569 0.617 0.897
0.930 0.861 0.741
0.047 0.617 0.897
0.497 0.993 0.653
0.919 0.336 0.584
0.417 0.336 0.584
0.953 0.383 0.103
0.431 0.383 0.103
0.070 0.139 0.259
0.503 0.007 0.347
0.000 0.000 0.500
0.644 0.289 0.856
0.333 0.666 0.675
0.356 0.711 0.144
0.667 0.334 0.325
```

Summary:
E_form	68	meV per atom
crystal system	monoclinic


(11)
Material: Li2Y2Rh
Method: DFT, GGA-PBE
State: relaxed

```
Li2Y2Rh
1.0
-3.309 -0.206 -1.130
1.145 -0.866 -3.195
-1.324 -9.496 0.178
Rh Li Y
1 2 2
Direct
0.000 0.000 0.000
0.250 0.750 0.500
0.750 0.250 0.500
0.589 0.589 0.823
0.411 0.411 0.177
```

Summary:
E_form	-212	meV per atom
crystal system	tetragonal
energy relative to the lowest polymorph listed for this composition	0.000	eV per atom


(12)
Material: YSnPO2
Method: DFT, GGA-PBE
State: relaxed

```
YSnPO2
1.0
4.246 0.000 0.000
0.000 4.246 0.000
0.000 0.000 5.788
P O Sn Y
1 2 1 1
Direct
0.000 0.000 0.500
0.500 0.000 0.000
0.000 0.500 0.000
0.500 0.500 0.500
0.000 0.000 0.000
```

Summary:
crystal system	tetragonal
energy relative to the lowest polymorph listed for this composition	0.220	eV per atom


Number 1: spin magnetization 0.34 μB per atom, uncorrected energy -40.68 eV per cell. Number 2: spin magnetization 0.00 μB per atom, uncorrected energy -32.04 eV per cell. Number 3: spin magnetization 0.00 μB per atom, uncorrected energy -29.17 eV per cell. Number 4: spin magnetization 0.00 μB per atom, uncorrected energy -19.69 eV per cell. Number 5: spin magnetization 0.00 μB per atom, uncorrected energy -8.94 eV per cell. Number 6: spin magnetization 0.00 μB per atom, uncorrected energy -106.79 eV per cell. Number 7: spin magnetization 0.00 μB per atom, uncorrected energy -14.77 eV per cell. Number 8: spin magnetization 0.00 μB per atom, uncorrected energy -26.86 eV per cell. Number 9: spin magnetization 0.00 μB per atom, uncorrected energy -45.77 eV per cell. Number 10: spin magnetization 0.00 μB per atom, uncorrected energy -151.77 eV per cell. Number 11: spin magnetization 0.00 μB per atom, uncorrected energy -25.17 eV per cell. Number 12: spin magnetization 0.16 μB per atom, uncorrected energy -30.90 eV per cell.